CdPb3 | PBEsol | relaxed

Unit cell a=6.863 b=9.610 c=3.387 alpha=90.00 beta=90.00 gamma=90.00
Space group Cmmm (No. 65)
Inequivalent atoms, fractional coordinates:
Cd1 0.000 0.000 0.000 [2 per cell]
Pb1 0.000 0.500 0.000 [2 per cell]
Pb2 0.250 0.250 0.500 [4 per cell]

Summary:
The mass density comes out at 10.9 Mg/m³. The raw total energy comes out at -3.2495 eV/atom.